## w
# BeTe2RhN (PBE, relaxed)
# density = 5.884 g cm⁻³
data_BeTe2RhN
_chemical_formula_sum 'Be1 Te2 Rh1 N1'
_symmetry_space_group_name_H-M 'P 4/m m m'
_symmetry_Int_Tables_number 123
_symmetry_space_group_name_Hall '-P 4 2'
_cell_length_a 5.449
_cell_length_b 5.449
_cell_length_c 3.622
_cell_angle_alpha 90.00
_cell_angle_beta 90.00
_cell_angle_gamma 90.00
loop_
_atom_site_label
_atom_site_type_symbol
_atom_site_fract_x
_atom_site_fract_y
_atom_site_fract_z
Be1 Be 0.000 0.000 0.000
Te1 Te 0.000 0.500 0.500
Rh1 Rh 0.500 0.500 0.500
N1 N 0.500 0.500 0.000

=====

## x
# BeTe2RhN (PBE, relaxed)
# density = 7.573 g cm⁻³
data_BeTe2RhN
_chemical_formula_sum 'Be1 Te2 Rh1 N1'
_symmetry_space_group_name_H-M 'P 4/m m m'
_symmetry_Int_Tables_number 123
_symmetry_space_group_name_Hall '-P 4 2'
_cell_length_a 5.227
_cell_length_b 5.227
_cell_length_c 3.059
_cell_angle_alpha 90.00
_cell_angle_beta 90.00
_cell_angle_gamma 90.00
loop_
_atom_site_label
_atom_site_type_symbol
_atom_site_fract_x
_atom_site_fract_y
_atom_site_fract_z
Be1 Be 0.000 0.000 0.000
Te1 Te 0.000 0.500 0.000
Rh1 Rh 0.500 0.500 0.500
N1 N 0.000 0.000 0.500

=====

Relative energies in eV/atom: w 0.335; x 0.000

=====

## w
# BeTeRhN2 (PBE, relaxed)
# density = 5.299 g cm⁻³
data_BeTeRhN2
_chemical_formula_sum 'Be1 Te1 Rh1 N2'
_symmetry_space_group_name_H-M 'P 4/m m m'
_symmetry_Int_Tables_number 123
_symmetry_space_group_name_Hall '-P 4 2'
_cell_length_a 3.772
_cell_length_b 3.772
_cell_length_c 5.891
_cell_angle_alpha 90.00
_cell_angle_beta 90.00
_cell_angle_gamma 90.00
loop_
_atom_site_label
_atom_site_type_symbol
_atom_site_fract_x
_atom_site_fract_y
_atom_site_fract_z
Be1 Be 0.000 0.000 0.000
Te1 Te 0.500 0.500 0.000
Rh1 Rh 0.500 0.500 0.500
N1 N 0.000 0.500 0.500

=====

## x
# BeTeRhN2 (PBE, relaxed)
# density = 6.095 g cm⁻³
data_BeTeRhN2
_chemical_formula_sum 'Be1 Te1 Rh1 N2'
_symmetry_space_group_name_H-M 'P 4/m m m'
_symmetry_Int_Tables_number 123
_symmetry_space_group_name_Hall '-P 4 2'
_cell_length_a 3.585
_cell_length_b 3.585
_cell_length_c 5.671
_cell_angle_alpha 90.00
_cell_angle_beta 90.00
_cell_angle_gamma 90.00
loop_
_atom_site_label
_atom_site_type_symbol
_atom_site_fract_x
_atom_site_fract_y
_atom_site_fract_z
Be1 Be 0.000 0.000 0.000
Te1 Te 0.000 0.000 0.500
Rh1 Rh 0.500 0.500 0.500
N1 N 0.000 0.500 0.000

=====

Relative energies in eV/atom: w 0.000; x 0.158

=====

## w
# Be3RuN (PBE, relaxed)
# density = 3.356 g cm⁻³
data_Be3RuN
_chemical_formula_sum 'Be3 Ru1 N1'
_symmetry_space_group_name_H-M 'P m -3 m'
_symmetry_Int_Tables_number 221
_symmetry_space_group_name_Hall '-P 4 2 3'
_cell_length_a 4.127
_cell_length_b 4.127
_cell_length_c 4.127
_cell_angle_alpha 90.00
_cell_angle_beta 90.00
_cell_angle_gamma 90.00
loop_
_atom_site_label
_atom_site_type_symbol
_atom_site_fract_x
_atom_site_fract_y
_atom_site_fract_z
Be1 Be 0.000 0.000 0.500
Ru1 Ru 0.000 0.000 0.000
N1 N 0.500 0.500 0.500

=====

## x
# Be3RuN (PBE, relaxed)
# density = 5.379 g cm⁻³
data_Be3RuN
_chemical_formula_sum 'Be3 Ru1 N1'
_symmetry_space_group_name_H-M 'P m -3 m'
_symmetry_Int_Tables_number 221
_symmetry_space_group_name_Hall '-P 4 2 3'
_cell_length_a 3.527
_cell_length_b 3.527
_cell_length_c 3.527
_cell_angle_alpha 90.00
_cell_angle_beta 90.00
_cell_angle_gamma 90.00
loop_
_atom_site_label
_atom_site_type_symbol
_atom_site_fract_x
_atom_site_fract_y
_atom_site_fract_z
Be1 Be 0.000 0.000 0.500
Ru1 Ru 0.500 0.500 0.500
N1 N 0.000 0.000 0.000

=====

Relative energies in eV/atom: w 1.749; x 0.000

=====

## w
# BeRu2N (PBE, relaxed)
# density = 7.885 g cm⁻³
data_BeRu2N
_chemical_formula_sum 'Be4 Ru8 N4'
_symmetry_space_group_name_H-M 'I -4 2 d'
_symmetry_Int_Tables_number 122
_symmetry_space_group_name_Hall 'I -4 2bw'
_cell_length_a 6.705
_cell_length_b 6.705
_cell_length_c 4.219
_cell_angle_alpha 90.00
_cell_angle_beta 90.00
_cell_angle_gamma 90.00
loop_
_atom_site_label
_atom_site_type_symbol
_atom_site_fract_x
_atom_site_fract_y
_atom_site_fract_z
Be1 Be 0.000 0.000 0.000
Ru1 Ru 0.128 0.250 0.625
N1 N 0.000 0.000 0.500

=====

## x
# BeRu2N (PBE, relaxed)
# density = 9.029 g cm⁻³
data_BeRu2N
_chemical_formula_sum 'Be4 Ru8 N4'
_symmetry_space_group_name_H-M 'F m -3 m'
_symmetry_Int_Tables_number 225
_symmetry_space_group_name_Hall '-F 4 2 3'
_cell_length_a 5.492
_cell_length_b 5.492
_cell_length_c 5.492
_cell_angle_alpha 90.00
_cell_angle_beta 90.00
_cell_angle_gamma 90.00
loop_
_atom_site_label
_atom_site_type_symbol
_atom_site_fract_x
_atom_site_fract_y
_atom_site_fract_z
Be1 Be 0.000 0.000 0.000
Ru1 Ru 0.250 0.250 0.250
N1 N 0.000 0.000 0.500

=====

Relative energies in eV/atom: w 0.000; x 0.427

=====

## w
# BeRuSN2 (PBE, relaxed)
# density = 3.936 g cm⁻³
data_BeRuSN2
_chemical_formula_sum 'Be1 Ru1 S1 N2'
_symmetry_space_group_name_H-M 'P 4/m m m'
_symmetry_Int_Tables_number 123
_symmetry_space_group_name_Hall '-P 4 2'
_cell_length_a 3.703
_cell_length_b 3.703
_cell_length_c 5.237
_cell_angle_alpha 90.00
_cell_angle_beta 90.00
_cell_angle_gamma 90.00
loop_
_atom_site_label
_atom_site_type_symbol
_atom_site_fract_x
_atom_site_fract_y
_atom_site_fract_z
Be1 Be 0.000 0.000 0.000
Ru1 Ru 0.500 0.500 0.500
S1 S 0.500 0.500 0.000
N1 N 0.000 0.500 0.500

=====

## x
# BeRuSN2 (PBE, relaxed)
# density = 4.768 g cm⁻³
data_BeRuSN2
_chemical_formula_sum 'Be1 Ru1 S1 N2'
_symmetry_space_group_name_H-M 'P 4/m m m'
_symmetry_Int_Tables_number 123
_symmetry_space_group_name_Hall '-P 4 2'
_cell_length_a 3.324
_cell_length_b 3.324
_cell_length_c 5.362
_cell_angle_alpha 90.00
_cell_angle_beta 90.00
_cell_angle_gamma 90.00
loop_
_atom_site_label
_atom_site_type_symbol
_atom_site_fract_x
_atom_site_fract_y
_atom_site_fract_z
Be1 Be 0.000 0.000 0.000
Ru1 Ru 0.500 0.500 0.500
S1 S 0.000 0.000 0.500
N1 N 0.000 0.500 0.000

=====

Relative energies in eV/atom: w 0.000; x 0.311

=====

## w
# BeRuSe2N (PBE, relaxed)
# density = 6.702 g cm⁻³
data_BeRuSe2N
_chemical_formula_sum 'Be1 Ru1 Se2 N1'
_symmetry_space_group_name_H-M 'P 4/m m m'
_symmetry_Int_Tables_number 123
_symmetry_space_group_name_Hall '-P 4 2'
_cell_length_a 4.799
_cell_length_b 4.799
_cell_length_c 3.033
_cell_angle_alpha 90.00
_cell_angle_beta 90.00
_cell_angle_gamma 90.00
loop_
_atom_site_label
_atom_site_type_symbol
_atom_site_fract_x
_atom_site_fract_y
_atom_site_fract_z
Be1 Be 0.000 0.000 0.000
Ru1 Ru 0.500 0.500 0.500
Se1 Se 0.000 0.500 0.000
N1 N 0.000 0.000 0.500

=====

## x
# BeRuSe2N (PBE, relaxed)
# density = 5.080 g cm⁻³
data_BeRuSe2N
_chemical_formula_sum 'Be1 Ru1 Se2 N1'
_symmetry_space_group_name_H-M 'P 4/m m m'
_symmetry_Int_Tables_number 123
_symmetry_space_group_name_Hall '-P 4 2'
_cell_length_a 5.050
_cell_length_b 5.050
_cell_length_c 3.615
_cell_angle_alpha 90.00
_cell_angle_beta 90.00
_cell_angle_gamma 90.00
loop_
_atom_site_label
_atom_site_type_symbol
_atom_site_fract_x
_atom_site_fract_y
_atom_site_fract_z
Be1 Be 0.000 0.000 0.000
Ru1 Ru 0.500 0.500 0.500
Se1 Se 0.000 0.500 0.500
N1 N 0.500 0.500 0.000

=====

Relative energies in eV/atom: w 0.000; x 0.051

=====

## w
# BeRuSeN2 (PBE, relaxed)
# density = 5.703 g cm⁻³
data_BeRuSeN2
_chemical_formula_sum 'Be1 Ru1 Se1 N2'
_symmetry_space_group_name_H-M 'P 4/m m m'
_symmetry_Int_Tables_number 123
_symmetry_space_group_name_Hall '-P 4 2'
_cell_length_a 3.441
_cell_length_b 3.441
_cell_length_c 5.337
_cell_angle_alpha 90.00
_cell_angle_beta 90.00
_cell_angle_gamma 90.00
loop_
_atom_site_label
_atom_site_type_symbol
_atom_site_fract_x
_atom_site_fract_y
_atom_site_fract_z
Be1 Be 0.000 0.000 0.000
Ru1 Ru 0.500 0.500 0.500
Se1 Se 0.000 0.000 0.500
N1 N 0.000 0.500 0.000

=====

## x
# BeRuSeN2 (PBE, relaxed)
# density = 4.745 g cm⁻³
data_BeRuSeN2
_chemical_formula_sum 'Be1 Ru1 Se1 N2'
_symmetry_space_group_name_H-M 'P 4/m m m'
_symmetry_Int_Tables_number 123
_symmetry_space_group_name_Hall '-P 4 2'
_cell_length_a 3.722
_cell_length_b 3.722
_cell_length_c 5.484
_cell_angle_alpha 90.00
_cell_angle_beta 90.00
_cell_angle_gamma 90.00
loop_
_atom_site_label
_atom_site_type_symbol
_atom_site_fract_x
_atom_site_fract_y
_atom_site_fract_z
Be1 Be 0.000 0.000 0.000
Ru1 Ru 0.500 0.500 0.500
Se1 Se 0.500 0.500 0.000
N1 N 0.000 0.500 0.500

=====

Relative energies in eV/atom: w 0.464; x 0.000